[1]
Compound: PaIrSe
Source: Alexandria
Functional: GGA-PBE
Structure: relaxed

Output
For the formation energy from raw total energies, the calculation gives -0.96 eV/atom.

Unit cell a=3.713 b=3.713 c=9.273 alpha=90.00 beta=90.00 gamma=90.00
Positions (direct):
Ir 0.000 0.500 0.576
Ir 0.500 0.000 0.424
Pa 0.000 0.500 0.274
Pa 0.500 0.000 0.726
Se 0.500 0.000 0.125
Se 0.000 0.500 0.875

[2]
Compound: BaPu3Se6
Source: Alexandria
Functional: GGA-PBE
Structure: relaxed

Output
For the formation energy from raw total energies, the calculation gives -1.46 eV/atom.

Unit cell a=4.283 b=12.487 c=12.277 alpha=109.89 beta=90.00 gamma=90.00
Positions (direct):
Ba 0.750 0.630 0.883
Ba 0.250 0.370 0.117
Pu 0.750 0.358 0.479
Pu 0.250 0.642 0.521
Pu 0.750 0.729 0.265
Pu 0.250 0.271 0.735
Pu 0.750 0.964 0.844
Pu 0.250 0.036 0.156
Se 0.750 0.188 0.579
Se 0.250 0.812 0.421
Se 0.750 0.141 0.065
Se 0.250 0.859 0.935
Se 0.750 0.741 0.671
Se 0.250 0.259 0.329
Se 0.750 0.528 0.354
Se 0.250 0.472 0.646
Se 0.750 0.365 0.899
Se 0.250 0.635 0.101
Se 0.750 0.946 0.245
Se 0.250 0.054 0.755

[3]
Compound: Tb3PmHoSc
Source: Alexandria
Functional: GGA-PBE
Structure: relaxed

Output
The calculation puts the formation energy at 36 meV/atom.

Unit cell a=4.966 b=7.865 c=9.988 alpha=90.00 beta=90.00 gamma=108.40
Positions (direct):
Tb 0.667 0.335 0.499
Tb 0.333 0.665 0.501
Tb 0.333 0.665 0.999
Tb 0.667 0.335 0.001
Tb 0.169 0.339 0.750
Tb 0.831 0.661 0.250
Pm 0.497 0.994 0.750
Pm 0.503 0.006 0.250
Ho 0.000 0.000 0.500
Ho 0.000 0.000 0.000
Sc 0.832 0.664 0.750
Sc 0.168 0.336 0.250

[4]
Compound: MgBiNO2
Source: Alexandria
Functional: GGA-PBE
Structure: relaxed

Output
For the formation energy from raw total energies, the calculation gives -0.09 eV/atom.

Unit cell a=4.213 b=4.213 c=4.259 alpha=90.00 beta=90.00 gamma=90.00
Positions (direct):
Mg 0.500 0.500 0.500
Bi 0.000 0.000 0.000
O 0.000 0.500 0.000
O 0.500 0.000 0.000
N 0.000 0.000 0.500

[5]
Compound: K3PrO3
Source: Alexandria
Functional: GGA-PBE
Structure: relaxed

Output
For the formation energy from raw total energies, the calculation gives -1.88 eV/atom.

Unit cell a=7.744 b=7.744 c=7.719 alpha=119.91 beta=119.91 gamma=55.32
Positions (direct):
K 0.221 0.221 0.472
K 0.245 0.755 0.500
K 0.755 0.245 0.500
K 0.245 0.755 0.000
K 0.755 0.245 0.000
K 0.779 0.779 0.528
Pr 0.215 0.215 0.965
Pr 0.785 0.785 0.035
O 0.017 0.017 0.768
O 0.500 0.000 0.206
O 0.000 0.500 0.206
O 0.500 0.000 0.794
O 0.000 0.500 0.794
O 0.983 0.983 0.232

[6]
Compound: Nd4ErSn2
Source: Alexandria
Functional: GGA-PBE
Structure: relaxed

Output
The calculation puts the formation energy at -261 meV/atom.

Unit cell a=5.486 b=5.486 c=9.907 alpha=73.92 beta=73.92 gamma=60.00
Positions (direct):
Nd 0.720 0.720 0.841
Nd 0.875 0.875 0.374
Nd 0.280 0.280 0.159
Nd 0.125 0.125 0.626
Er 0.500 0.500 0.500
Sn 0.606 0.606 0.181
Sn 0.394 0.394 0.819

[7]
Compound: Pr3BeB2Pt9
Source: Alexandria
Functional: GGA-PBE
Structure: relaxed

Output
The calculation puts the formation energy at -799 meV/atom.

Unit cell a=5.828 b=5.828 c=9.003 alpha=90.00 beta=90.00 gamma=120.00
Positions (direct):
Pr 0.333 0.667 0.614
Pr 0.000 0.000 0.000
Pr 0.667 0.333 0.386
Be 0.000 0.000 0.500
B 0.333 0.667 0.157
B 0.667 0.333 0.843
Pt 0.837 0.163 0.702
Pt 0.837 0.675 0.702
Pt 0.325 0.163 0.702
Pt 0.675 0.837 0.298
Pt 0.163 0.325 0.298
Pt 0.163 0.837 0.298
Pt 0.500 0.000 0.000
Pt 0.000 0.500 0.000
Pt 0.500 0.500 0.000

[8]
Compound: BSI2O
Source: Alexandria
Functional: GGA-PBE
Structure: relaxed

Output
For the formation energy from raw total energies, the calculation gives 0.21 eV/atom. The offset from the most stable computed form is 0.00 eV/f.u.

Unit cell a=6.167 b=6.167 c=2.797 alpha=90.00 beta=90.00 gamma=90.00
Positions (direct):
I 0.000 0.500 0.000
I 0.500 0.000 0.000
S 0.500 0.500 0.500
B 0.000 0.000 0.000
O 0.000 0.000 0.500

[9]
Compound: NaMg3Cr
Source: Alexandria
Functional: GGA-PBE
Structure: relaxed

Output
The offset from the most stable computed form is 0.00 eV/f.u. The calculation puts the formation energy at 557 meV/atom.

Unit cell a=5.329 b=5.329 c=5.329 alpha=90.00 beta=90.00 gamma=90.00
Positions (direct):
Cr 0.000 0.000 0.000
Mg 0.000 0.500 0.000
Mg 0.000 0.000 0.500
Mg 0.500 0.000 0.000
Na 0.500 0.500 0.500

[10]
Compound: ZrVCd2N
Source: Alexandria
Functional: GGA-PBE
Structure: relaxed

Output
For the formation energy from raw total energies, the calculation gives 1.66 eV/atom.

Unit cell a=5.198 b=4.614 c=5.198 alpha=90.00 beta=90.00 gamma=90.00
Positions (direct):
N 0.500 0.500 0.500
V 0.000 0.000 0.000
Zr 0.000 0.500 0.000
Cd 0.000 0.000 0.500
Cd 0.500 0.000 0.000

[11]
Compound: Nd6Dy2Er
Source: Alexandria
Functional: GGA-PBE
Structure: relaxed

Output
The offset from the most stable computed form is 0.00 eV/f.u. The calculation puts the formation energy at 83 meV/atom.

Unit cell a=6.257 b=10.147 c=10.147 alpha=71.46 beta=85.03 gamma=85.03
Positions (direct):
Nd 0.486 0.688 0.407
Nd 0.014 0.593 0.312
Nd 0.514 0.312 0.593
Nd 0.986 0.407 0.688
Nd 0.653 0.074 0.354
Nd 0.847 0.646 0.926
Nd 0.347 0.926 0.646
Nd 0.153 0.354 0.074
Nd 0.320 0.741 0.022
Nd 0.180 0.978 0.259
Nd 0.680 0.259 0.978
Nd 0.820 0.022 0.741
Dy 0.417 0.567 0.767
Dy 0.083 0.233 0.433
Dy 0.583 0.433 0.233
Dy 0.917 0.767 0.567
Er 0.250 0.100 0.900
Er 0.750 0.900 0.100

[12]
Compound: TlCo2Br
Source: Alexandria
Functional: GGA-PBE
Structure: relaxed

Output
For the formation energy from raw total energies, the calculation gives 0.80 eV/atom. The offset from the most stable computed form is 1.81 eV/f.u.

Unit cell a=5.239 b=5.378 c=3.353 alpha=71.41 beta=90.84 gamma=119.45
Positions (direct):
Br 0.500 0.500 0.000
Co 0.000 0.000 0.000
Co 0.500 0.000 0.500
Tl 0.000 0.500 0.500

no.,magnetization (μB/cell)
1,0.00
2,8.73
3,0.00
4,0.00
5,0.00
6,0.00
7,0.00
8,0.00
9,4.51
10,1.21
11,0.00
12,3.45